# 1
This record from Alexandria describes crystalline CaMgBe2 at its relaxed geometry. The functional is PBE.

a b c (Å): 3.940 5.704 5.704
angles (deg): 36.92 90.00 90.00
Positions (direct):
1 Ca 0.000 0.000 0.000
2 Mg 0.500 0.709 0.709
3 Be 0.000 0.292 0.292
4 Be 0.500 0.378 0.378

Computed properties:
**ρ**: 1.78 Mg/m³
**Calculated total energy**: -2.502 eV/atom
**Spin magnetization**: 0.00 μB/cell

***

# 2
This record from Alexandria describes crystalline CaMgBe2 at its relaxed geometry. The functional is PBE.

a b c (Å): 9.329 9.329 9.329
angles (deg): 152.57 152.57 39.18
Positions (direct):
1 Ca 0.375 0.625 0.750
2 Ca 0.625 0.375 0.250
3 Mg 0.125 0.875 0.250
4 Mg 0.875 0.125 0.750
5 Be 0.000 0.000 0.000
6 Be 0.000 0.000 0.500
7 Be 0.000 0.500 0.000
8 Be 0.500 0.000 0.500

Computed properties:
**ρ**: 1.59 Mg/m³
**Calculated total energy**: -2.278 eV/atom
**Spin magnetization**: 0.00 μB/cell

***

# 3
This record from Alexandria describes crystalline CaMg2Be at its relaxed geometry. The functional is PBE.

a b c (Å): 9.749 9.749 9.749
angles (deg): 20.10 20.10 20.10
Positions (direct):
1 Ca 0.000 0.000 0.000
2 Mg 0.529 0.529 0.529
3 Mg 0.771 0.771 0.771
4 Be 0.259 0.259 0.259

Computed properties:
**ρ**: 1.69 Mg/m³
**Calculated total energy**: -1.848 eV/atom
**Spin magnetization**: 0.00 μB/cell

***

| no. | volume (Å³ per cell) |
| --- | --- |
| 1 | 77.01 |
| 2 | 172.01 |
| 3 | 95.73 |